DFT (PBE) results for crystalline CoSbPt2 at its relaxed geometry.

The structure in CIF format:
```
data_CoSbPt2
_cell_length_a 4.479
_cell_length_b 4.479
_cell_length_c 4.479
_cell_angle_alpha 60.00
_cell_angle_beta 60.00
_cell_angle_gamma 60.00
_symmetry_space_group_name_H-M 'P 1'
_symmetry_Int_Tables_number 1
loop_
_symmetry_equiv_pos_as_xyz
'x,y,z'
loop_
_atom_site_label
_atom_site_type_symbol
_atom_site_fract_x
_atom_site_fract_y
_atom_site_fract_z
Co1 Co 0.000 0.000 0.000
Sb1 Sb 0.750 0.750 0.750
Pt1 Pt 0.250 0.250 0.250
Pt2 Pt 0.500 0.500 0.500
```

---

# Cu2Ag PBE relaxed
data_Cu2Ag
_cell_length_a 5.845
_cell_length_b 5.845
_cell_length_c 8.291
_cell_angle_alpha 103.56
_cell_angle_beta 103.56
_cell_angle_gamma 27.09
_symmetry_space_group_name_H-M 'P 1'
_symmetry_Int_Tables_number 1
loop_
_symmetry_equiv_pos_as_xyz
'x,y,z'
loop_
_atom_site_label
_atom_site_type_symbol
_atom_site_fract_x
_atom_site_fract_y
_atom_site_fract_z
Cu1 Cu 0.000 0.000 0.000
Cu2 Cu 0.003 0.003 0.333
Cu3 Cu 0.341 0.341 0.435
Cu4 Cu 0.349 0.349 0.779
Cu5 Cu 0.657 0.657 0.219
Cu6 Cu 0.988 0.988 0.649
Ag1 Ag 0.335 0.335 0.115
Ag2 Ag 0.659 0.659 0.876
Ag3 Ag 0.674 0.674 0.548
# E above lowest polymorph (meV/atom): 46
# Formation enthalpy at 0 K (eV per atom): 0.0922

---

DFT (PBE) results for crystalline TbAgSnTeSe2 at its relaxed geometry.

The structure in CIF format:
```
data_TbAgSnTeSe2
_cell_length_a 7.343
_cell_length_b 7.343
_cell_length_c 11.111
_cell_angle_alpha 90.00
_cell_angle_beta 90.00
_cell_angle_gamma 147.24
_symmetry_space_group_name_H-M 'P 1'
_symmetry_Int_Tables_number 1
loop_
_symmetry_equiv_pos_as_xyz
'x,y,z'
loop_
_atom_site_label
_atom_site_type_symbol
_atom_site_fract_x
_atom_site_fract_y
_atom_site_fract_z
Tb1 Tb 0.000 0.000 0.000
Tb2 Tb 0.000 0.000 0.500
Ag1 Ag 0.474 0.526 0.750
Ag2 Ag 0.526 0.474 0.250
Sn1 Sn 0.214 0.786 0.250
Sn2 Sn 0.786 0.214 0.750
Te1 Te 0.109 0.891 0.750
Te2 Te 0.891 0.109 0.250
Se1 Se 0.362 0.638 0.560
Se2 Se 0.362 0.638 0.940
Se3 Se 0.638 0.362 0.060
Se4 Se 0.638 0.362 0.440
```

---

# AcHoAsO PBE relaxed
data_AcHoAsO
_cell_length_a 4.588
_cell_length_b 7.474
_cell_length_c 6.421
_cell_angle_alpha 90.00
_cell_angle_beta 90.00
_cell_angle_gamma 90.00
_symmetry_space_group_name_H-M 'P 1'
_symmetry_Int_Tables_number 1
loop_
_symmetry_equiv_pos_as_xyz
'x,y,z'
loop_
_atom_site_label
_atom_site_type_symbol
_atom_site_fract_x
_atom_site_fract_y
_atom_site_fract_z
Ac1 Ac 0.000 0.212 0.000
Ac2 Ac 0.000 0.788 0.500
Ho1 Ho 0.500 0.390 0.582
Ho2 Ho 0.500 0.610 0.082
As1 As 0.000 0.200 0.495
As2 As 0.000 0.800 0.995
O1 O 0.500 0.349 0.926
O2 O 0.500 0.651 0.426
# E above lowest polymorph (meV/atom): 51

---

DFT (PBE) results for crystalline Tb3InS6 at its relaxed geometry.

The structure in CIF format:
```
data_Tb3InS6
_cell_length_a 13.511
_cell_length_b 16.578
_cell_length_c 3.875
_cell_angle_alpha 90.00
_cell_angle_beta 90.00
_cell_angle_gamma 90.00
_symmetry_space_group_name_H-M 'P 1'
_symmetry_Int_Tables_number 1
loop_
_symmetry_equiv_pos_as_xyz
'x,y,z'
loop_
_atom_site_label
_atom_site_type_symbol
_atom_site_fract_x
_atom_site_fract_y
_atom_site_fract_z
Tb1 Tb 0.036 0.224 0.249
Tb2 Tb 0.192 0.644 0.248
Tb3 Tb 0.248 0.391 0.239
Tb4 Tb 0.252 0.891 0.761
Tb5 Tb 0.308 0.144 0.752
Tb6 Tb 0.464 0.724 0.751
Tb7 Tb 0.536 0.276 0.751
Tb8 Tb 0.692 0.856 0.752
Tb9 Tb 0.748 0.109 0.761
Tb10 Tb 0.752 0.609 0.239
Tb11 Tb 0.808 0.356 0.248
Tb12 Tb 0.964 0.776 0.249
In1 In 0.000 0.000 0.852
In2 In 0.000 0.500 0.746
In3 In 0.500 0.000 0.254
In4 In 0.500 0.500 0.148
S1 S 0.020 0.395 0.246
S2 S 0.101 0.909 0.266
S3 S 0.108 0.117 0.750
S4 S 0.116 0.744 0.750
S5 S 0.178 0.284 0.743
S6 S 0.193 0.519 0.746
S7 S 0.307 0.019 0.254
S8 S 0.322 0.784 0.257
S9 S 0.384 0.244 0.250
S10 S 0.392 0.617 0.250
S11 S 0.399 0.409 0.734
S12 S 0.480 0.895 0.754
S13 S 0.520 0.105 0.754
S14 S 0.601 0.591 0.734
S15 S 0.608 0.383 0.250
S16 S 0.616 0.756 0.250
S17 S 0.678 0.216 0.257
S18 S 0.693 0.981 0.254
S19 S 0.807 0.481 0.746
S20 S 0.822 0.716 0.743
S21 S 0.884 0.256 0.750
S22 S 0.892 0.883 0.750
S23 S 0.899 0.091 0.266
S24 S 0.980 0.605 0.246
```

---

# LiNiBMo PBE relaxed
data_LiNiBMo
_cell_length_a 3.938
_cell_length_b 3.938
_cell_length_c 3.938
_cell_angle_alpha 60.00
_cell_angle_beta 60.00
_cell_angle_gamma 60.00
_symmetry_space_group_name_H-M 'P 1'
_symmetry_Int_Tables_number 1
loop_
_symmetry_equiv_pos_as_xyz
'x,y,z'
loop_
_atom_site_label
_atom_site_type_symbol
_atom_site_fract_x
_atom_site_fract_y
_atom_site_fract_z
Li1 Li 0.000 0.000 0.000
Ni1 Ni 0.500 0.500 0.500
B1 B 0.250 0.250 0.250
Mo1 Mo 0.750 0.750 0.750
# E above lowest polymorph (meV/atom): 238

---

One value per record, in order, for final energy: -5.79; -3.33; -4.41; -6.56; -5.83; -5.74 eV per atom.